Density functional theory data (GGA-PBE) for a relaxed structure of HfAlH2.

Geometry as extended XYZ:
```
4
Lattice="0.3994 -3.2178 2.1962 -3.1507 -2.1176 0.9620 -0.5427 -3.5369 -1.5916" Properties=species:S:1:pos:R:3 pbc="T T T"
H -0.8235 -2.2181 0.3917
H -2.4705 -6.6542 1.1750
Hf -1.6470 -4.4361 0.7833
Al 0.0000 0.0000 0.0000
```

Electronic total energy ... -4.822 eV/atom
Energy above the most stable polymorph in this dataset ... 368 meV/atom
M_tot ... 0.00 μB per cell
DOS at the Fermi energy ... 1.90 states/eV/cell